This record from Alexandria describes a geometry-optimized Rb2MnNi3F12 structure. The functional is GGA+U.

The value obtained for the total energy is -4.551 eV/atom.

The structure belongs to space group R-3m (No. 166, hexagonal axes); the cell edges are 7.2393, 7.2393 and 18.2322 Å and the angles 90.00°, 90.00° and 120.00°. The asymmetric unit holds Rb at (0.0000, 0.0000, 0.1109), Mn at (0.0000, 0.0000, 0.5000), Ni at (0.0000, 0.5000, 0.0000), F at (0.0663, 0.5332, 0.3621) and F at (0.0888, 0.5444, 0.1101).